(1)
VASP calculation (PBE-GGA) on CsSr2ErI8 after structural relaxation.

## Properties
**Electronic total energy**: -39.4 eV per cell
**Energy relative to the elements, uncorrected**: -1.518 eV per atom
**Theoretical density**: 4.12 Mg/m³
**Crystal system**: triclinic
**Magnetization**: 0.0 μB/f.u.

Cell: 7.4826 7.7949 10.3041 Å, 89.95 89.91 89.48°
Closest atoms and distances in Å follow each position.
Space group P-1 (No. 2)
Symmetry-distinct sites (fractional):
Cs (0.0000, 0.0000, 0.0000) [1 per cell]  6 I 3.66-3.75
Sr (0.4999, 0.5001, 0.2529) [2 per cell]  6 I 3.27-3.48
Er (0.0000, 0.0000, 0.5000) [1 per cell]  6 I 3.00-3.13
I (0.2382, 0.8428, 0.7022) [2 per cell]  1 Er 3.00, 1 Sr 3.33
I (0.2392, 0.8439, 0.2974) [2 per cell]  1 Er 3.00, 1 Sr 3.33
I (0.2452, 0.3225, 0.5003) [2 per cell]  1 Er 3.13, 2 Sr 3.48
I (0.2612, 0.3947, 0.0004) [2 per cell]  2 Sr 3.27, 1 Cs 3.66

=====

(2)
VASP calculation (PBE-GGA) on CsErTl2I6 after structural relaxation.

## Properties
**Electronic total energy**: -30.7 eV per cell
**Energy relative to the elements, uncorrected**: -1.127 eV per atom
**Theoretical density**: 4.74 Mg/m³
**Crystal system**: triclinic
**Magnetization**: 0.0 μB/f.u.

Cell: 8.7437 8.7486 9.2692 Å, 61.88 61.86 60.05°
Closest atoms and distances in Å follow each position.
Space group P1 (No. 1)
Symmetry-distinct sites (fractional):
Cs (0.0000, 0.0000, 0.0000) [1 per cell]  6 I 3.79-4.00
Er (0.4853, 0.4860, 0.5431) [1 per cell]  6 I 3.02-3.05
Tl (0.2922, 0.2930, 0.1222) [1 per cell]  6 I 3.54-3.58
Tl (0.8085, 0.8095, 0.5734) [1 per cell]  6 I 3.45-3.61
I (0.1160, 0.4363, 0.7860) [1 per cell]  1 Er 3.05
I (0.2643, 0.8397, 0.3287) [1 per cell]  1 Er 3.02
I (0.4357, 0.6616, 0.7864) [1 per cell]  1 Er 3.05
I (0.5673, 0.2645, 0.3287) [1 per cell]  1 Er 3.02
I (0.6611, 0.1172, 0.7861) [1 per cell]  1 Er 3.05
I (0.8393, 0.5681, 0.3287) [1 per cell]  1 Er 3.02

=====

(3)
VASP calculation (PBE-GGA) on CsErTlI6 after structural relaxation.

## Properties
**Electronic total energy**: -26.7 eV per cell
**Energy relative to the elements, uncorrected**: -1.070 eV per atom
**Theoretical density**: 4.31 Mg/m³
**Crystal system**: trigonal
**Magnetization**: 0.0 μB/f.u.

Cell: 8.2158 8.2158 8.3346 Å, 90.00 90.00 120.00°
Closest atoms and distances in Å follow each position.
Space group P312 (No. 149)
Symmetry-distinct sites (fractional):
Cs (0.0000, 0.0000, 0.0000) [1 per cell]  6 I 3.94
Er (0.3333, 0.6667, 0.5000) [1 per cell]  6 I 3.02
Tl (0.6667, 0.3333, 0.5000) [1 per cell]  6 I 3.26
I (0.0219, 0.3961, 0.7192) [6 per cell]  1 Er 3.02, 1 Tl 3.26

=====

(4)
VASP calculation (PBE-GGA) on CsErVI6 after structural relaxation.

## Properties
**Electronic total energy**: -33.7 eV per cell
**Energy relative to the elements, uncorrected**: -1.101 eV per atom
**Theoretical density**: 4.19 Mg/m³
**Crystal system**: trigonal
**Magnetization**: 3.0 μB/f.u.

Cell: 7.5833 7.5833 8.8561 Å, 90.00 90.00 120.00°
Closest atoms and distances in Å follow each position.
Space group P312 (No. 149)
Symmetry-distinct sites (fractional):
Cs (0.0000, 0.0000, 0.0000) [1 per cell]  6 I 3.90
Er (0.3333, 0.6667, 0.5000) [1 per cell]  6 I 3.02
V (0.6667, 0.3333, 0.5000) [1 per cell]  6 I 2.87
I (0.3735, 0.0153, 0.3100) [6 per cell]  1 V 2.87, 1 Er 3.02

=====

(5)
VASP calculation (PBE-GGA) on CsErZnI6 after structural relaxation.

## Properties
**Electronic total energy**: -25.9 eV per cell
**Energy relative to the elements, uncorrected**: -1.105 eV per atom
**Theoretical density**: 4.20 Mg/m³
**Crystal system**: trigonal
**Magnetization**: 0.0 μB/f.u.

Cell: 7.6489 7.6489 8.7998 Å, 90.00 90.00 120.00°
Closest atoms and distances in Å follow each position.
Space group P312 (No. 149)
Symmetry-distinct sites (fractional):
Cs (0.0000, 0.0000, 0.0000) [1 per cell]  6 I 3.91
Er (0.3333, 0.6667, 0.5000) [1 per cell]  6 I 3.02
Zn (0.6667, 0.3333, 0.5000) [1 per cell]  6 I 2.90
I (0.3760, 0.0122, 0.6930) [6 per cell]  1 Zn 2.90, 1 Er 3.02

=====

(6)
VASP calculation (PBE-GGA) on CsErIn after structural relaxation.

## Properties
**Electronic total energy**: -32.7 eV per cell
**E_form**: -0.010 eV per atom
**Theoretical density**: 4.46 Mg/m³
**Crystal system**: monoclinic
**Magnetization**: 0.0 μB/f.u.

Cell: 9.9697 4.8195 12.9491 Å, 90.00 96.48 90.00°
Closest atoms and distances in Å follow each position.
Space group C2/m (No. 12)
Symmetry-distinct sites (fractional):
Cs (0.1675, 0.0000, 0.1867) [4 per cell]  3 In 3.88-4.25, 2 Er 4.32
Er (0.1526, 0.0000, 0.5574) [4 per cell]  5 In 3.11-3.38, 1 Er 3.23
In (0.0356, 0.5000, 0.3875) [4 per cell]  1 In 3.08, 5 Er 3.11-3.38